No. 1
A plane-wave DFT calculation with PBE was carried out for a relaxed structure of ZnSb2Au.

Output
As for the space-group type: P4/mmm. The calculation puts the density of states at the Fermi level at 0.70 states/eV/atom. For the uncorrected energy, the calculation gives -3.00 eV/atom. Its calculated volume is 22.37 Å³/atom. The value obtained for the uncorrected formation energy is 0.1980 eV per atom.

Structure (POSCAR):
```
ZnSb2Au
1.0
3.347 0.000 0.000
0.000 3.347 0.000
0.000 0.000 7.987
Zn Sb Au
1 2 1
Cartesian
0.000 0.000 0.000 Zn
1.673 1.673 2.000 Sb
1.673 1.673 5.987 Sb
0.000 0.000 3.994 Au
```

No. 2
A plane-wave DFT calculation with PBE was carried out for a relaxed structure of Zn2SbAu.

Output
As for the space-group type: C2/m. The calculation puts the density of states at the Fermi level at 0.35 states/eV/atom. For the uncorrected energy, the calculation gives -2.49 eV/atom. Its calculated volume is 19.93 Å³/atom. The value obtained for the uncorrected formation energy is -0.0005 eV per atom.

Structure (POSCAR):
```
Zn2SbAu
1.0
8.352 0.000 0.000
0.000 3.322 0.000
-1.258 0.000 5.747
Zn Sb Au
4 2 2
Cartesian
1.763 0.000 1.165 Zn
1.154 1.661 4.582 Zn
5.939 1.661 1.165 Zn
5.330 0.000 4.582 Zn
-0.629 0.000 2.873 Sb
3.547 1.661 2.873 Sb
0.000 1.661 0.000 Au
4.176 0.000 0.000 Au
```

Among the records above, which one has the highest uncorrected formation energy?
ZnSb2Au

Among the records above, which one has the highest calculated volume?
ZnSb2Au

Which value of uncorrected formation energy does entry 1 give?
0.1980 eV per atom